Record 1
This record from Alexandria via LeMat-Bulk describes an optimized crystal structure of Re2As. The functional is PBE.

The space group is P6_3/mmc (No. 194) and the conventional cell measures 4.5323, 4.5323 and 5.1285 Å, with angles of 90.00, 90.00 and 120.00 degrees. Symmetry generates all atoms from Re at (0.0000, 0.0000, 0.0000), Re at (0.3333, 0.6667, 0.2500) and As at (0.3333, 0.6667, 0.7500).

For the energy relative to the elements, the calculation gives 2.1 eV per formula unit. Its total energy is -9.15 eV/atom.

Record 2
This record from Alexandria via LeMat-Bulk describes an optimized crystal structure of Nd4MgCd. The functional is PBE.

The space group is Pm (No. 6) and the conventional cell measures 5.187, 5.182 and 7.995 Å, with angles of 90.00, 90.02 and 90.00 degrees. Symmetry generates all atoms from Nd at (0.000, 0.000, 0.000), Nd at (0.000, 0.000, 0.484), Nd at (0.500, 0.500, 0.000), Nd at (0.500, 0.500, 0.484), Mg at (0.499, 0.000, 0.743) and Cd at (0.000, 0.500, 0.242).

For the energy relative to the elements, the calculation gives 1.3 eV per formula unit. The value obtained for the excess energy over the best structure of this formula in the dataset is 0.3469 eV/atom. Its total energy is -3.38 eV/atom.

Record 3
This record from Alexandria via LeMat-Bulk describes an optimized crystal structure of Li2InPb. The functional is PBE.

The space group is Pmm2 (No. 25) and the conventional cell measures 3.533, 4.267 and 5.964 Å, with angles of 90.00, 90.00 and 90.00 degrees. Symmetry generates all atoms from Li at (0.000, 0.000, 0.000), Li at (0.500, 0.500, 0.271), In at (0.500, 0.500, 0.786) and Pb at (0.000, 0.000, 0.495).

For the energy relative to the elements, the calculation gives -0.8 eV per formula unit. The value obtained for the excess energy over the best structure of this formula in the dataset is 0.0748 eV/atom. Its total energy is -2.77 eV/atom.

Record 4
This record from Alexandria via LeMat-Bulk describes an optimized crystal structure of TaBH2. The functional is PBE.

The space group is Fm-3m (No. 225) and the conventional cell measures 4.833, 4.833 and 4.833 Å, with angles of 90.00, 90.00 and 90.00 degrees. Symmetry generates all atoms from Ta at (0.000, 0.000, 0.000), B at (0.000, 0.000, 0.500) and H at (0.250, 0.250, 0.250).

The value obtained for the excess energy over the best structure of this formula in the dataset is 0.2335 eV/atom. Its total energy is -5.87 eV/atom.

Record 5
This record from Alexandria via LeMat-Bulk describes an optimized crystal structure of Na2SrHgSb2. The functional is PBE.

The space group is Pmc2_1 (No. 26) and the conventional cell measures 4.796, 9.235 and 8.170 Å, with angles of 90.00, 90.00 and 90.00 degrees. Symmetry generates all atoms from Na at (0.000, 0.078, 0.000), Na at (0.500, 0.170, 0.324), Sr at (0.500, 0.444, 0.949), Hg at (0.000, 0.310, 0.608), Sb at (0.000, 0.374, 0.233) and Sb at (0.500, 0.152, 0.709).

As for the uncorrected formation energy: -0.575 eV/atom. Its total energy is -2.72 eV/atom.

Record 6
This record from Alexandria via LeMat-Bulk describes an optimized crystal structure of LaSc2Rh. The functional is PBE.

The space group is I-4m2 (No. 119) and the conventional cell measures 5.016, 5.016 and 7.120 Å, with angles of 90.00, 90.00 and 90.00 degrees. Symmetry generates all atoms from La at (0.000, 0.000, 0.000), Sc at (0.000, 0.000, 0.500), Sc at (0.000, 0.500, 0.250) and Rh at (0.000, 0.500, 0.750).

For the energy relative to the elements, the calculation gives -0.7 eV per formula unit. Its total energy is -6.41 eV/atom.